Density functional theory data (PBE) for an optimized crystal structure of TaFeAu2.

Geometry as CIF:
```
data_TaFeAu2
_chemical_formula_sum 'Ta1 Fe1 Au2'
_cell_length_a 3.222
_cell_length_b 3.222
_cell_length_c 6.336
_cell_angle_alpha 90.00
_cell_angle_beta 90.00
_cell_angle_gamma 90.00
_space_group_name_H-M_alt 'P 1'
_space_group_IT_number 1
_space_group_name_Hall 'P 1'
loop_
_atom_site_label
_atom_site_type_symbol
_atom_site_fract_x
_atom_site_fract_y
_atom_site_fract_z
Ta1 Ta 0.000 0.000 0.000
Fe1 Fe 0.500 0.500 0.809
Au1 Au 0.000 0.000 0.556
Au2 Au 0.500 0.500 0.276
```

Calculated values
The calculation puts the total DFT energy (no corrections) at -6.705 eV/atom. The calculation puts the energy of formation at 0.012 eV per atom. For the energy above the lowest structure with this stoichiometry, the calculation gives 0 meV per atom. The calculation puts the volume at 65.77 Å³ per cell.